Record 1
A geometry-optimized Sc6CN structure. Source: Alexandria via LeMat-Bulk, functional PBE.

Results
The total energy is -7.475 eV per atom. The calculation puts the raw formation energy at -0.53 eV per atom. The density is 3.10 g cm⁻³.

Geometry as CIF:
```
data_Sc6CN
_space_group_name_H-M_alt 'P 1'
_space_group_IT_number 1
_space_group_name_Hall 'P 1'
_cell_length_a 5.6203
_cell_length_b 5.7072
_cell_length_c 5.7072
_cell_angle_alpha 60.00
_cell_angle_beta 90.01
_cell_angle_gamma 89.99
loop_
_atom_site_label
_atom_site_fract_x
_atom_site_fract_y
_atom_site_fract_z
_atom_site_occupancy
Sc1 0.7519 0.3258 0.0208 1
Sc2 0.2481 0.0208 0.3258 1
Sc3 0.7521 0.7158 0.3257 1
Sc4 0.2480 0.7157 0.0208 1
Sc5 0.7520 0.0208 0.7157 1
Sc6 0.2479 0.3257 0.7158 1
C1 0.5000 0.0207 0.0207 1
N1 0.0000 0.0208 0.0208 1
```

=====

Record 2
A geometry-optimized BaCaBr structure. Source: Alexandria via LeMat-Bulk, functional PBE.

Results
The total energy is -2.754 eV per atom. The calculation puts the raw formation energy at -0.89 eV per atom. The density is 3.53 g cm⁻³.

Geometry as CIF:
```
data_BaCaBr
_space_group_name_H-M_alt 'P 1'
_space_group_IT_number 1
_space_group_name_Hall 'P 1'
_cell_length_a 4.1620
_cell_length_b 4.1590
_cell_length_c 16.1656
_cell_angle_alpha 90.00
_cell_angle_beta 90.00
_cell_angle_gamma 120.02
loop_
_atom_site_label
_atom_site_fract_x
_atom_site_fract_y
_atom_site_fract_z
_atom_site_occupancy
Ca1 0.6129 0.2257 0.0000 1
Ca2 0.2750 0.5500 0.5000 1
Br1 0.2792 0.5584 0.1204 1
Br2 0.2792 0.5584 0.8796 1
Ba1 0.6102 0.2203 0.2878 1
Ba2 0.6102 0.2203 0.7122 1
```

=====

Record 3
A geometry-optimized PmSi3IrRu structure. Source: Alexandria via LeMat-Bulk, functional PBE.

Results
The total energy is -7.075 eV per atom. The calculation puts the raw formation energy at -0.55 eV per atom. The density is 7.33 g cm⁻³.

Geometry as CIF:
```
data_PmSi3IrRu
_space_group_name_H-M_alt 'P 1'
_space_group_IT_number 1
_space_group_name_Hall 'P 1'
_cell_length_a 5.6691
_cell_length_b 6.2610
_cell_length_c 7.3671
_cell_angle_alpha 115.15
_cell_angle_beta 90.00
_cell_angle_gamma 90.00
loop_
_atom_site_label
_atom_site_fract_x
_atom_site_fract_y
_atom_site_fract_z
_atom_site_occupancy
Si1 0.5000 0.2878 0.0000 1
Si2 0.5000 0.7122 0.0000 1
Si3 0.2500 0.2260 0.4520 1
Si4 0.7500 0.7740 0.5480 1
Si5 0.0000 0.2878 0.0000 1
Si6 0.0000 0.7122 0.0000 1
Ir1 0.7500 0.6061 0.2122 1
Ir2 0.2500 0.3939 0.7878 1
Ru1 0.7500 0.9401 0.8802 1
Ru2 0.2500 0.0599 0.1198 1
Pm1 0.2500 0.8059 0.6117 1
Pm2 0.7500 0.1941 0.3883 1
```

=====

Which formula does entry 3 have? PmSi3IrRu

=====

What is the formula in the third record? PmSi3IrRu